1.
## PmNd8In5 (PBE)

Data for PmNd8In5 after structural relaxation.

Cell: 8.3735 8.3735 8.3735 Å, 109.10 110.22 109.10°
Sites, in units of the cell vectors:
Nd  0.1211  0.7628  0.5198
Nd  0.4802  0.6013  0.2430
Nd  0.9554  0.0835  0.7253
Nd  0.1281  0.7698  0.0446
Nd  0.6418  0.9165  0.8719
Nd  0.7570  0.2372  0.3583
Nd  0.6417  0.3987  0.8789
Nd  0.2747  0.2302  0.3582
In  0.5000  0.0000  0.5000
In  0.3693  0.1224  0.9821
In  0.8597  0.8776  0.2470
In  0.0179  0.3873  0.1403
In  0.7530  0.6127  0.6307
Pm  0.2500  0.5000  0.7500


2.
## Ba2CaCr (PBE)

Data for Ba2CaCr after structural relaxation.

Cell: 7.2465 7.2465 6.2179 Å, 64.59 64.59 35.67°
Sites, in units of the cell vectors:
Cr  0.2500  0.2500  0.2500
Ba  0.5395  0.5395  0.4605
Ba  0.9605  0.9605  0.0395
Ca  0.7500  0.7500  0.7500

Results
Excess energy over the best structure of this formula in the dataset, meV per atom: 79


Short version: energy of formation from the pure elements = -0.229; 0.488 eV per atom, in the order given.
Short version: ρ = 6.883; 3.583 Mg/m³, in the order given.